# 1
A plane-wave DFT calculation with PBE was carried out for crystalline ZnTc2Ge2 at its relaxed geometry.

Results
Energy relative to the lowest polymorph listed for this composition, meV/atom: 0.0
DFT total energy, eV per cell: -63.2

a b c (Å): 6.8985 6.8985 3.2279
angles (deg): 90.00 90.00 90.00
Last column: nearest neighbours and their distance in Å.
Fractional coordinates of all 10 atoms:
Zn  0.0000  0.0000  0.0000  4 Tc 2.63
Zn  0.5000  0.5000  0.0000  4 Tc 2.63
Ge  0.1492  0.6492  0.5000  6 Tc 2.55-2.61
Ge  0.6492  0.8508  0.5000  6 Tc 2.55-2.61
Ge  0.8508  0.3508  0.5000  6 Tc 2.55-2.61
Ge  0.3508  0.1492  0.5000  6 Tc 2.55-2.61
Tc  0.3518  0.8518  0.0000  6 Ge 2.55-2.61, 2 Zn 2.63
Tc  0.8518  0.6482  0.0000  6 Ge 2.55-2.61, 2 Zn 2.63
Tc  0.6482  0.1482  0.0000  6 Ge 2.55-2.61, 2 Zn 2.63
Tc  0.1482  0.3518  0.0000  6 Ge 2.55-2.61, 2 Zn 2.63

# 2
A plane-wave DFT calculation with PBE was carried out for crystalline Lu2Te3 at its relaxed geometry.

Results
Raw formation energy, eV per atom: -0.859
DFT total energy, eV per cell: -22.8

a b c (Å): 5.2597 5.2597 7.2100
angles (deg): 90.00 90.00 90.00
Last column: nearest neighbours and their distance in Å.
Fractional coordinates of all 5 atoms:
Lu  0.5000  0.5000  0.5733  4 Te 3.03
Lu  0.0000  0.0000  0.1781  5 Te 2.85-2.95
Te  0.0000  0.0000  0.7832  1 Lu 2.85
Te  0.5000  0.0000  0.3646  4 Lu 2.95-3.03
Te  0.0000  0.5000  0.3646  4 Lu 2.95-3.03

# 3
A plane-wave DFT calculation with PBE was carried out for crystalline Pb5Br at its relaxed geometry.

Results
Energy relative to the lowest polymorph listed for this composition, meV/atom: 167.0
Raw formation energy, eV per atom: 0.048
DFT total energy, eV per cell: -19.9

a b c (Å): 6.5488 6.5488 6.5488
angles (deg): 60.00 60.00 60.00
Last column: nearest neighbours and their distance in Å.
Fractional coordinates of all 6 atoms:
Pb  0.2500  0.2500  0.2500  12 Pb 3.84, 4 Br 4.01
Pb  0.6244  0.6244  0.6244  6 Pb 3.26-3.29
Pb  0.6244  0.6244  0.1269  6 Pb 3.26-3.29
Pb  0.1269  0.6244  0.6244  6 Pb 3.26-3.29
Pb  0.6244  0.1269  0.6244  6 Pb 3.26-3.29
Br  0.0000  0.0000  0.0000  16 Pb 3.84-4.01

DFT total energy of number 1 (ZnTc2Ge2)? -63.2 eV per cell

Copy entry 3 word for word.
A plane-wave DFT calculation with PBE was carried out for crystalline Pb5Br at its relaxed geometry.

Results
Energy relative to the lowest polymorph listed for this composition, meV/atom: 167.0
Raw formation energy, eV per atom: 0.048
DFT total energy, eV per cell: -19.9

a b c (Å): 6.5488 6.5488 6.5488
angles (deg): 60.00 60.00 60.00
Last column: nearest neighbours and their distance in Å.
Fractional coordinates of all 6 atoms:
Pb  0.2500  0.2500  0.2500  12 Pb 3.84, 4 Br 4.01
Pb  0.6244  0.6244  0.6244  6 Pb 3.26-3.29
Pb  0.6244  0.6244  0.1269  6 Pb 3.26-3.29
Pb  0.1269  0.6244  0.6244  6 Pb 3.26-3.29
Pb  0.6244  0.1269  0.6244  6 Pb 3.26-3.29
Br  0.0000  0.0000  0.0000  16 Pb 3.84-4.01

Number 1 is which compound? ZnTc2Ge2

Which of these has the lowest DFT total energy? ZnTc2Ge2